Here is a relaxed GaCoPtF2 crystal from Alexandria via LeMat-Bulk. Energies are from PBE with a Hubbard U.

a = 3.670 Å, b = 3.670 Å, c = 6.851 Å
α = 90.00°, β = 90.00°, γ = 90.00°
Space group P4/mmm (No. 123)
Symmetry-distinct sites (fractional):
Ga: 0.000 0.000 0.000 (multiplicity 1)
Co: 0.000 0.000 0.500 (multiplicity 1)
Pt: 0.500 0.500 0.000 (multiplicity 1)
F: 0.000 0.500 0.500 (multiplicity 2)

Results
Raw total energy: -0.162 hartree per atom